Entry from the Alexandria database: a geometry-optimized Cu3B7IO13 structure (PBE-GGA).

The uncorrected energy is -7.059 eV/atom.

The structure belongs to space group F-43c (No. 219); the cell edges are 12.152, 12.152 and 12.152 Å and the angles 90.00°, 90.00° and 90.00°. The asymmetric unit holds Cu at (0.000, 0.000, 0.250), B at (0.000, 0.250, 0.250), B at (0.169, 0.169, 0.169), I at (0.000, 0.000, 0.000), O at (0.070, 0.153, 0.232) and O at (0.250, 0.250, 0.250).